[1]
Below is a geometry-optimized La2Co3As4Rh structure, with properties calculated at the PBE level.

The structure in extended XYZ format:
```
10
Lattice="4.247 0.000 0.000 0.000 4.247 0.000 0.000 0.000 9.594" Properties=species:S:1:pos:R:3 pbc="T T T"
La 0.000 2.124 7.253
La 2.124 0.000 2.341
As 2.124 0.000 6.134
As 2.124 2.124 0.000
As 0.000 2.124 3.460
As 0.000 0.000 0.000
Co 0.000 0.000 4.797
Co 0.000 2.124 1.069
Co 2.124 0.000 8.525
Rh 2.124 2.124 4.797
```

Computed properties:
As for the symmetry: P-4m2, No. 115. Its formation energy from the elements is -833 meV/atom. The calculation puts the total energy at -6.54 eV/atom.

***

[2]
Below is a geometry-optimized BeV8Si2 structure, with properties calculated at the PBE level.

The structure in extended XYZ format:
```
11
Lattice="4.257 0.000 0.000 0.000 4.666 0.528 -2.128 -1.274 6.923" Properties=species:S:1:pos:R:3 pbc="T T T"
Si 2.128 0.055 4.998
Si 0.000 3.338 2.453
V 2.128 2.284 1.491
V 2.128 -0.023 2.438
V 0.000 1.077 0.751
V 0.000 3.416 5.014
V 2.128 2.400 4.072
V 0.000 0.993 3.379
V 2.128 2.315 6.700
V 0.000 1.108 5.960
Be 2.128 0.000 0.000
```

Computed properties:
As for the symmetry: C2/m, No. 12. The value obtained for the formation energy without anion corrections is -2.8 eV per formula unit. The calculation puts the total energy at -8.21 eV/atom.

***

[3]
Below is a geometry-optimized CePm2Pr4 structure, with properties calculated at the PBE level.

The structure in extended XYZ format:
```
7
Lattice="-0.192 3.258 1.700 1.310 -2.935 1.789 19.324 4.599 -6.634" Properties=species:S:1:pos:R:3 pbc="T T T"
Pr 18.515 4.254 -6.065
Pr 16.525 2.717 -3.343
Pr 4.740 0.976 -1.335
Pr 11.099 1.427 -1.483
Ce 13.298 4.132 -2.437
Pm 2.257 1.503 1.357
Pm 7.805 2.825 -0.550
```

Computed properties:
As for the symmetry: Cm, No. 8. Its formation energy from the elements is 50 meV/atom. The calculation puts the total energy at -4.89 eV/atom.

***

[4]
Below is a geometry-optimized Cu2PbBr5 structure, with properties calculated at the PBE level.

The structure in extended XYZ format:
```
16
Lattice="-2.819 -1.544 2.776 3.212 -4.585 -5.762 11.940 -4.042 9.873" Properties=species:S:1:pos:R:3 pbc="T T T"
Br 6.357 -6.485 4.479
Br 5.435 -4.236 8.018
Br 5.977 -3.686 2.409
Br 10.636 -7.934 8.018
Br 2.451 -4.067 1.862
Br 8.332 -5.217 10.414
Br 9.882 -6.104 5.026
Br 6.898 -5.936 -1.130
Br 4.001 -4.955 -3.526
Br 1.697 -2.237 -1.130
Pb 11.441 -7.521 2.560
Pb 0.892 -2.650 4.328
Cu 0.691 -4.193 0.008
Cu 4.306 -5.417 2.998
Cu 8.027 -4.754 3.891
Cu 11.642 -5.978 6.880
```

Computed properties:
As for the symmetry: P2_1/m, No. 11. The value obtained for the formation energy without anion corrections is -4.0 eV per formula unit. The calculation puts the total energy at -3.03 eV/atom.

***

[5]
Below is a geometry-optimized CeGdHo structure, with properties calculated at the PBE level.

The structure in extended XYZ format:
```
3
Lattice="3.519 0.000 0.000 -1.759 3.047 0.000 0.000 0.000 8.601" Properties=species:S:1:pos:R:3 pbc="T T T"
Gd 1.759 1.016 2.914
Ce 0.000 2.032 5.736
Ho 0.000 0.000 8.552
```

Computed properties:
As for the symmetry: P3m1, No. 156. Its formation energy from the elements is 63 meV/atom. The calculation puts the total energy at -8.13 eV/atom.

***

[6]
Below is a geometry-optimized MnZn2Ag structure, with properties calculated at the PBE level.

The structure in extended XYZ format:
```
4
Lattice="-6.279 -6.679 1.709 -4.563 -7.145 3.883 -6.579 -5.200 4.077" Properties=species:S:1:pos:R:3 pbc="T T T"
Ag -8.693 -9.493 4.824
Zn -4.358 -4.759 2.418
Zn -0.062 -0.068 0.034
Mn -13.019 -14.218 7.225
```

Computed properties:
As for the symmetry: R3m, No. 160. Its formation energy from the elements is 163 meV/atom. The calculation puts the total energy at -3.48 eV/atom.

***

[7]
Below is a geometry-optimized ThCuSb structure, with properties calculated at the PBE level.

The structure in extended XYZ format:
```
3
Lattice="-3.844 0.100 1.398 -0.482 -3.926 -1.043 3.617 0.648 3.914" Properties=species:S:1:pos:R:3 pbc="T T T"
Th -1.834 -2.199 1.102
Cu 0.810 -0.704 2.277
Sb -0.828 -3.074 3.930
```

Computed properties:
As for the symmetry: I4mm, No. 107. The value obtained for the formation energy without anion corrections is -0.7 eV per formula unit. The calculation puts the total energy at -5.46 eV/atom.

***

[8]
Below is a geometry-optimized KAs2Ru structure, with properties calculated at the PBE level.

The structure in extended XYZ format:
```
4
Lattice="-3.851 -2.605 -0.608 -3.724 0.636 2.777 -3.902 1.949 -1.720" Properties=species:S:1:pos:R:3 pbc="T T T"
As -8.607 -0.015 0.337
As -2.869 -0.005 0.112
Ru -5.738 -0.010 0.224
K 0.000 0.000 0.000
```

Computed properties:
As for the symmetry: Fm-3m, No. 225. Its formation energy from the elements is 347 meV/atom. The calculation puts the total energy at -4.57 eV/atom.